# 1
10
Lattice="-2.443 -3.432 -0.080 0.957 -0.587 -4.061 8.039 -5.787 2.733" Properties=species:S:1:pos:R:3 comment="Dy2Ge4Ir3Pd (PBE, relaxed)" dos_ef_per_ev_cell=5.2 ef_ev_per_atom=-0.75 magmom_total_mub_per_atom=0.00 rho_g_cm3=11.822 pbc="T T T"
Dy 0.718 -3.112 0.619
Dy 6.579 -4.685 0.043
Ge -0.743 -2.010 -2.070
Ge 0.000 0.000 0.000
Ge 3.894 -5.398 1.699
Ge 3.403 -2.398 -1.037
Ir 4.020 -2.893 1.366
Ir 5.781 -6.756 2.340
Ir 1.516 -1.040 -1.678
Pd 3.277 -4.903 -0.704



# 2
10
Lattice="-3.413 0.408 2.398 -1.183 -3.888 -1.022 5.708 -4.053 8.811" Properties=species:S:1:pos:R:3 comment="Pm2DyGe3Ir4 (PBE, relaxed)" dos_ef_per_ev_cell=5.3 ef_ev_per_atom=-0.79 magmom_total_mub_per_atom=0.00 rho_g_cm3=12.092 pbc="T T T"
Pm -0.398 -0.726 3.219
Pm 3.807 -5.068 6.279
Dy 0.556 -3.767 5.093
Ge 2.854 -2.027 4.406
Ge 3.305 -3.355 8.936
Ge 0.104 -2.438 0.563
Ir -2.298 -1.740 0.688
Ir 0.000 0.000 0.000
Ir 2.059 -2.470 7.012
Ir 1.351 -3.323 2.487



# 3
4
Lattice="4.210 0.000 0.000 0.000 4.124 0.000 -2.105 0.000 5.478" Properties=species:S:1:pos:R:3 comment="PrDyGeIr (PBE, relaxed)" dos_ef_per_ev_cell=2.9 ef_ev_per_atom=-0.78 magmom_total_mub_per_atom=0.00 rho_g_cm3=9.923 pbc="T T T"
Pr 0.000 0.000 1.608
Dy 2.105 2.062 4.008
Ge 2.105 2.062 0.737
Ir 0.000 0.000 4.603



# 4
10
Lattice="4.195 0.000 0.000 0.000 4.195 0.000 0.000 0.000 10.350" Properties=species:S:1:pos:R:3 comment="Dy2Ge4Ir3Pt (PBE, relaxed)" dos_ef_per_ev_cell=5.1 ef_ev_per_atom=-0.77 magmom_total_mub_per_atom=0.00 rho_g_cm3=12.646 pbc="T T T"
Dy 2.098 0.000 2.503
Dy 0.000 2.098 7.846
Ge 2.098 2.098 0.000
Ge 0.000 0.000 0.000
Ge 2.098 0.000 6.604
Ge 0.000 2.098 3.746
Ir 0.000 0.000 5.175
Ir 2.098 0.000 9.009
Ir 0.000 2.098 1.340
Pt 2.098 2.098 5.175



# 5
4
Lattice="-0.697 3.764 3.146 -1.835 -0.858 4.521 2.908 0.470 3.984" Properties=species:S:1:pos:R:3 comment="DyPuGeIr (PBE, relaxed)" dos_ef_per_ev_cell=7.8 ef_ev_per_atom=-0.49 magmom_total_mub_per_atom=1.21 rho_g_cm3=12.962 pbc="T T T"
Ge 0.281 2.531 8.739
Ir 0.094 0.844 2.913
Dy 0.188 1.688 5.826
Pu 0.000 0.000 0.000



# 6
10
Lattice="-1.704 -2.422 -3.009 1.792 -3.410 1.730 -8.217 -1.389 5.772" Properties=species:S:1:pos:R:3 comment="Dy2Ge4Ir3Rh (PBE, relaxed)" dos_ef_per_ev_cell=4.3 ef_ev_per_atom=-0.79 magmom_total_mub_per_atom=0.00 rho_g_cm3=11.900 pbc="T T T"
Dy -2.874 -1.553 -0.084
Dy -5.299 -2.752 5.217
Ge 0.044 -2.916 -0.640
Ge 0.000 0.000 0.000
Ge -6.040 -2.088 2.140
Ge -2.133 -2.217 2.992
Ir -4.108 -0.694 2.886
Ir -8.001 -2.419 3.517
Ir -0.172 -1.885 1.615
Rh -4.065 -3.610 2.247



# 7
5
Lattice="-2.463 -3.069 -1.522 3.400 -2.420 -0.622 -0.970 0.850 5.704" Properties=species:S:1:pos:R:3 comment="DyGe2IrRu (PBE, relaxed)" dos_ef_per_ev_cell=2.2 ef_ev_per_atom=-0.73 magmom_total_mub_per_atom=0.00 rho_g_cm3=11.145 pbc="T T T"
Dy 0.000 0.000 0.000
Ge 0.343 -3.220 0.090
Ge -0.376 -1.419 3.470
Ir -1.482 -2.482 1.555
Ru 1.449 -2.157 2.005



# 8
20
Lattice="3.562 0.000 0.000 0.000 9.624 0.000 0.000 0.000 9.624" Properties=species:S:1:pos:R:3 comment="Dy2Si2GeIr5 (PBE, relaxed)" dos_ef_per_ev_cell=7.8 magmom_total_mub_per_atom=0.00 final_energy_ev_per_atom=-7.681 rho_g_cm3=14.244 pbc="T T T"
Dy 0.000 6.501 1.689
Dy 0.000 3.123 7.935
Dy 0.000 1.689 3.123
Dy 0.000 7.935 6.501
Si 0.000 1.188 6.000
Si 0.000 8.436 3.624
Si 0.000 6.000 8.436
Si 0.000 3.624 1.188
Ge 0.000 0.000 0.000
Ge 0.000 4.812 4.812
Ir 1.781 2.028 0.649
Ir 1.781 7.596 8.975
Ir 1.781 0.649 7.596
Ir 1.781 6.840 4.163
Ir 1.781 8.975 2.028
Ir 1.781 2.784 5.461
Ir 1.781 5.461 6.840
Ir 1.781 4.163 2.784
Ir 1.781 4.812 0.000
Ir 1.781 0.000 4.812